Record 1
DFT (PBE) results for a relaxed LaErSnHg crystal.

Output
E_form: -583 meV/atom
Space group: F-43m (216)
Raw total energy: -16.13 eV per formula unit

abc: 5.404 5.404 5.404
angles: 60.00 60.00 60.00
Sites, in units of the cell vectors:
Hg  0.000  0.000  0.000
Er  0.750  0.750  0.750
La  0.250  0.250  0.250
Sn  0.500  0.500  0.500

=====

Record 2
DFT (PBE) results for a relaxed La2TbEr2Hg5 crystal.

Output
E_form: -355 meV/atom
Space group: P4/mbm (127)
Raw total energy: -28.67 eV per formula unit

abc: 4.504 11.041 11.041
angles: 90.00 90.00 90.00
Sites, in units of the cell vectors:
Hg  0.500  0.000  0.500
Hg  0.500  0.809  0.924
Hg  0.500  0.424  0.309
Hg  0.500  0.500  0.000
Hg  0.500  0.309  0.576
Hg  0.500  0.076  0.809
Hg  0.500  0.924  0.191
Hg  0.500  0.576  0.691
Hg  0.500  0.691  0.424
Hg  0.500  0.191  0.076
Er  0.000  0.624  0.876
Er  0.000  0.376  0.124
Er  0.000  0.124  0.624
Er  0.000  0.876  0.376
La  0.000  0.824  0.676
La  0.000  0.676  0.176
La  0.000  0.176  0.324
La  0.000  0.324  0.824
Tb  0.000  0.500  0.500
Tb  0.000  0.000  0.000

=====

Record 3
DFT (PBE) results for a relaxed LaTbErHg crystal.

Output
E_form: -78 meV/atom
Space group: F-43m (216)
Raw total energy: -14.73 eV per formula unit
Energy relative to the lowest polymorph listed for this composition: 0.148 eV/atom

abc: 5.508 5.508 5.508
angles: 60.00 60.00 60.00
Sites, in units of the cell vectors:
Hg  0.500  0.500  0.500
Tb  0.750  0.750  0.750
Er  0.000  0.000  0.000
La  0.250  0.250  0.250

=====

Record 4
DFT (PBE) results for a relaxed LaTb2ErHg4 crystal.

Output
E_form: -471 meV/atom
Space group: R-3m (166)
Raw total energy: -23.72 eV per formula unit

abc: 5.308 5.308 9.326
angles: 73.47 73.47 60.00
Last column: magnetic moment on the atom in μB.
Sites, in units of the cell vectors:
La  0.000  0.000  0.000  0.13
Er  0.500  0.500  0.500  0.07
Hg  0.872  0.872  0.384  0.01
Hg  0.380  0.380  0.860  0.01
Hg  0.620  0.620  0.140  0.01
Hg  0.128  0.128  0.616  0.01
Tb  0.751  0.751  0.746  0.14
Tb  0.249  0.249  0.254  0.14

=====

Record 5
DFT (PBE) results for a relaxed La2TbErHg2 crystal.

Output
E_form: -340 meV/atom
Space group: Pmc2_1 (26)
Raw total energy: -21.69 eV per formula unit

abc: 5.167 7.197 9.641
angles: 90.00 90.00 90.00
Sites, in units of the cell vectors:
Er  0.500  0.676  0.329
Er  0.500  0.176  0.671
La  0.000  0.833  0.828
La  0.500  0.023  0.056
La  0.000  0.333  0.172
La  0.500  0.523  0.944
Tb  0.000  0.992  0.446
Tb  0.000  0.492  0.554
Hg  0.500  0.248  0.366
Hg  0.000  0.773  0.165
Hg  0.500  0.748  0.634
Hg  0.000  0.273  0.835

=====

Record 6
DFT (PBE) results for a relaxed LaTbErHg crystal.

Output
E_form: -226 meV/atom
Space group: P4mm (99)
Raw total energy: -15.33 eV per formula unit
Energy relative to the lowest polymorph listed for this composition: 0.000 eV/atom

abc: 3.674 3.674 8.877
angles: 90.00 90.00 90.00
Sites, in units of the cell vectors:
Er  0.500  0.500  0.360
Hg  0.000  0.000  0.566
Tb  0.500  0.500  0.785
La  0.000  0.000  0.074

=====

Record 7
DFT (PBE) results for a relaxed La2ErHgTe5 crystal.

Output
Energy relative to the elements, uncorrected: -115.64 kJ per mole of atoms
Space group: Cmc2_1 (36)
Raw total energy: -41.21 eV per formula unit

abc: 4.440 9.831 13.590
angles: 90.00 90.00 103.05
Sites, in units of the cell vectors:
Te  0.646  0.292  0.498
Te  0.291  0.582  0.662
Te  0.700  0.400  0.840
Te  0.502  0.004  0.776
Te  0.041  0.083  0.090
Te  0.959  0.917  0.590
Te  0.709  0.418  0.162
Te  0.300  0.600  0.340
Te  0.354  0.708  0.998
Te  0.498  0.996  0.276
Hg  0.564  0.127  0.964
Hg  0.436  0.873  0.464
La  0.127  0.254  0.305
La  0.119  0.239  0.684
La  0.881  0.761  0.184
La  0.873  0.746  0.805
Er  0.193  0.386  0.005
Er  0.807  0.614  0.505

=====

Record 8
DFT (PBE) results for a relaxed LaErTlHg crystal.

Output
E_form: -419 meV/atom
Space group: F-43m (216)
Raw total energy: -13.84 eV per formula unit

abc: 5.450 5.450 5.450
angles: 60.00 60.00 60.00
Last column: magnetic moment on the atom in μB.
Sites, in units of the cell vectors:
Tl  0.500  0.500  0.500  0.00
La  0.750  0.750  0.750  0.09
Hg  0.000  0.000  0.000  0.02
Er  0.250  0.250  0.250  0.16

=====

Record 9
DFT (PBE) results for a relaxed LaEr2TlHg4 crystal.

Output
E_form: -359 meV/atom
Space group: R-3m (166)
Raw total energy: -20.50 eV per formula unit

abc: 5.130 5.130 9.869
angles: 74.93 74.93 60.00
Sites, in units of the cell vectors:
Er  0.763  0.763  0.710
Er  0.237  0.237  0.290
Hg  0.880  0.880  0.360
Hg  0.382  0.382  0.853
Hg  0.120  0.120  0.640
Hg  0.618  0.618  0.147
Tl  0.500  0.500  0.500
La  0.000  0.000  0.000

=====

Record 10
DFT (PBE) results for a relaxed La2Er2TmHg5 crystal.

Output
E_form: -357 meV/atom
Space group: P4/mbm (127)
Raw total energy: -28.53 eV per formula unit

abc: 3.885 12.033 12.033
angles: 90.00 90.00 90.00
Last column: magnetic moment on the atom in μB.
Sites, in units of the cell vectors:
Hg  0.500  0.176  0.089  0.00
Hg  0.500  0.089  0.824  0.00
Hg  0.500  0.500  0.000  0.00
Hg  0.500  0.324  0.589  0.00
Hg  0.500  0.411  0.324  0.00
Hg  0.500  0.911  0.176  0.00
Hg  0.500  0.589  0.676  0.00
Hg  0.500  0.824  0.911  0.00
Hg  0.500  0.000  0.500  0.00
Hg  0.500  0.676  0.411  0.00
La  0.000  0.329  0.829  -0.16
La  0.000  0.829  0.671  -0.16
La  0.000  0.671  0.171  -0.16
La  0.000  0.171  0.329  -0.16
Er  0.000  0.368  0.132  -0.04
Er  0.000  0.868  0.368  -0.04
Er  0.000  0.632  0.868  -0.04
Er  0.000  0.132  0.632  -0.04
Tm  0.000  0.000  0.000  0.00
Tm  0.000  0.500  0.500  0.00

=====

Record 11
DFT (PBE) results for a relaxed LaErTmHg crystal.

Output
E_form: -72 meV/atom
Space group: F-43m (216)
Raw total energy: -14.55 eV per formula unit

abc: 5.480 5.480 5.480
angles: 60.00 60.00 60.00
Sites, in units of the cell vectors:
La  0.250  0.250  0.250
Hg  0.500  0.500  0.500
Tm  0.000  0.000  0.000
Er  0.750  0.750  0.750

=====

Record 12
DFT (PBE) results for a relaxed LaErTm2Hg4 crystal.

Output
E_form: -465 meV/atom
Space group: R-3m (166)
Raw total energy: -23.36 eV per formula unit

abc: 5.264 5.264 9.275
angles: 73.52 73.52 60.00
Sites, in units of the cell vectors:
Hg  0.872  0.872  0.384
Hg  0.619  0.619  0.142
Hg  0.128  0.128  0.616
Hg  0.381  0.381  0.858
Er  0.500  0.500  0.500
La  0.000  0.000  0.000
Tm  0.752  0.752  0.744
Tm  0.248  0.248  0.256

=====

Among the records above, which one has the highest raw total energy?
LaErTlHg